Entry from the Alexandria database: a relaxed Pb crystal (GGA-PBE).

Properties
DOS at the Fermi energy, states/eV/f.u.: 0.6
Theoretical density, g/cm³: 10.96
ΔE_f, eV per atom: 0.01
Energy above the most stable polymorph in this dataset, eV/atom: 0.014

Unit cell a=3.5489 b=3.5489 c=11.5153 alpha=90.00 beta=90.00 gamma=120.00
Space group P6_3/mmc (No. 194)
One atom of each set of equivalent atoms:
Pb1 0.0000 0.0000 0.0000 [2 per cell]
Pb2 0.3333 0.6667 0.2500 [2 per cell]